[1]
Computed, not measured: AcTm2Ag after structural relaxation at the GGA-PBE level of DFT.

Unit cell a=5.2122 b=4.8097 c=4.8097 alpha=90.00 beta=90.00 gamma=90.00
Closest atoms and distances in Å follow each position.
Element x y z (fractional)
1 Ac 0.5000 0.5000 0.5000  4 Ag 3.40, 8 Tm 3.55
2 Tm 0.0000 0.0000 0.5000  4 Tm 3.40, 4 Ac 3.55, 4 Ag 3.55
3 Tm 0.0000 0.5000 0.0000  4 Tm 3.40, 4 Ag 3.55, 4 Ac 3.55
4 Ag 0.5000 0.0000 0.0000  4 Ac 3.40, 8 Tm 3.55

Results
Energy relative to the elements = 0.3 eV per formula unit
Fermi-level density of states = 6.2 states/eV/cell
Total magnetization = 0.00 μB/f.u.
Distance to the lowest polymorph of the same formula = 181 meV per atom
Calculated total energy = -15.58 eV/f.u.


[2]
Computed, not measured: AcTmAg3 after structural relaxation at the GGA-PBE level of DFT.

Unit cell a=3.8552 b=4.8044 c=14.1581 alpha=90.00 beta=97.83 gamma=90.00
Closest atoms and distances in Å follow each position.
Element x y z (fractional)
1 Ac 0.9227 0.7500 0.8454  12 Ag 3.38-3.57
2 Ac 0.0773 0.2500 0.1546  12 Ag 3.38-3.57
3 Tm 0.2098 0.7500 0.4196  7 Ag 2.97-3.16
4 Tm 0.7902 0.2500 0.5804  7 Ag 2.97-3.16
5 Ag 0.6266 0.7500 0.2533  3 Ag 2.83-2.89, 2 Tm 3.03
6 Ag 0.3734 0.2500 0.7467  3 Ag 2.83-2.89, 2 Tm 3.03
7 Ag 0.5257 0.7500 0.0514  3 Ag 2.80-2.83
8 Ag 0.4743 0.2500 0.9486  3 Ag 2.80-2.83
9 Ag 0.6842 0.2500 0.3684  2 Ag 2.89, 5 Tm 2.97-3.16
10 Ag 0.3158 0.7500 0.6316  2 Ag 2.89, 5 Tm 2.97-3.16

Results
Energy relative to the elements = -1.4 eV per formula unit
Fermi-level density of states = 8.6 states/eV/cell
Total magnetization = 0.00 μB/f.u.
Calculated total energy = -18.52 eV/f.u.


[3]
Computed, not measured: AcTm2Ag after structural relaxation at the GGA-PBE level of DFT.

Unit cell a=3.7787 b=3.7787 c=10.4674 alpha=79.60 beta=79.60 gamma=60.00
Closest atoms and distances in Å follow each position.
Element x y z (fractional)
1 Ac 0.5011 0.5011 0.4966  6 Tm 3.73-3.79, 6 Ac 3.78
2 Tm 0.0667 0.0667 0.7998  3 Ag 3.01
3 Tm 0.2662 0.2662 0.2014  3 Ag 2.99
4 Ag 0.6659 0.6659 0.0022  6 Tm 2.99-3.01

Results
Energy relative to the elements = 0.2 eV per formula unit
Fermi-level density of states = 5.3 states/eV/cell
Total magnetization = 0.00 μB/f.u.
Distance to the lowest polymorph of the same formula = 143 meV per atom
Calculated total energy = -15.74 eV/f.u.


[4]
Computed, not measured: AcTmAg2 after structural relaxation at the GGA-PBE level of DFT.

Unit cell a=5.1099 b=5.1099 c=5.7789 alpha=63.76 beta=63.76 gamma=60.00
Closest atoms and distances in Å follow each position.
Element x y z (fractional)
1 Ac 0.0000 0.0000 0.0000  8 Ag 3.26-3.41
2 Tm 0.5000 0.5000 0.5000  6 Ag 3.05
3 Ag 0.7815 0.7815 0.6554  3 Tm 3.05, 4 Ac 3.26-3.41, 3 Ag 3.33
4 Ag 0.2185 0.2185 0.3446  3 Tm 3.05, 4 Ac 3.26-3.41, 3 Ag 3.33

Results
Energy relative to the elements = -1.0 eV per formula unit
Fermi-level density of states = 2.2 states/eV/cell
Total magnetization = 0.00 μB/f.u.
Distance to the lowest polymorph of the same formula = 44 meV per atom
Calculated total energy = -15.24 eV/f.u.


[5]
Computed, not measured: AcTmAg after structural relaxation at the GGA-PBE level of DFT.

Unit cell a=3.7736 b=3.7736 c=6.9924 alpha=105.65 beta=105.65 gamma=90.00
Closest atoms and distances in Å follow each position.
Element x y z (fractional)
1 Ac 0.0098 0.0098 0.0196  4 Ag 3.53, 5 Tm 3.77-3.79, 4 Ac 3.77
2 Tm 0.3017 0.3017 0.6034  4 Ag 3.04
3 Ag 0.6885 0.6885 0.3770  4 Tm 3.04

Results
Energy relative to the elements = -0.4 eV per formula unit
Fermi-level density of states = 3.3 states/eV/cell
Total magnetization = 0.00 μB/f.u.
Distance to the lowest polymorph of the same formula = 0 meV per atom
Calculated total energy = -11.86 eV/f.u.


[6]
Computed, not measured: AcYTmAg after structural relaxation at the GGA-PBE level of DFT.

Unit cell a=5.5459 b=5.5459 c=5.5459 alpha=60.00 beta=60.00 gamma=60.00
Closest atoms and distances in Å follow each position.
Element x y z (fractional)
1 Y 0.7500 0.7500 0.7500  4 Ac 3.40, 4 Ag 3.40
2 Ac 0.5000 0.5000 0.5000  4 Y 3.40, 4 Tm 3.40
3 Tm 0.2500 0.2500 0.2500  4 Ac 3.40, 4 Ag 3.40
4 Ag 0.0000 0.0000 0.0000  4 Tm 3.40, 4 Y 3.40

Results
Energy relative to the elements = 0.7 eV per formula unit
Fermi-level density of states = 5.4 states/eV/cell
Total magnetization = 0.00 μB/f.u.
Calculated total energy = -17.15 eV/f.u.


[7]
Computed, not measured: Ac2VAg after structural relaxation at the GGA-PBE level of DFT.

Unit cell a=3.6586 b=3.6586 c=11.4688 alpha=80.82 beta=80.82 gamma=60.00
Closest atoms and distances in Å follow each position.
Element x y z (fractional)
1 Ac 0.0897 0.0897 0.7308  1 V 3.03, 3 Ag 3.35
2 Ac 0.9103 0.9103 0.2692  1 V 3.03, 3 Ag 3.35
3 Ag 0.5000 0.5000 0.5000  6 Ac 3.35, 6 Ag 3.66
4 V 0.0000 0.0000 0.0000  2 Ac 3.03

Results
Energy relative to the elements = 3.0 eV per formula unit
Fermi-level density of states = 4.4 states/eV/cell
Total magnetization = 3.56 μB/f.u.
Calculated total energy = -17.16 eV/f.u.


[8]
Computed, not measured: AcY4Ag5 after structural relaxation at the GGA-PBE level of DFT.

Unit cell a=3.6797 b=3.6797 c=18.8054 alpha=90.00 beta=90.00 gamma=90.00
Closest atoms and distances in Å follow each position.
Element x y z (fractional)
1 Ac 0.0000 0.0000 0.0000  8 Ag 3.43, 4 Ac 3.68
2 Y 0.0000 0.0000 0.2098  8 Ag 3.11-3.17
3 Y 0.0000 0.0000 0.4034  8 Ag 3.17-3.18
4 Y 0.0000 0.0000 0.5966  8 Ag 3.17-3.18
5 Y 0.0000 0.0000 0.7902  8 Ag 3.11-3.17
6 Ag 0.5000 0.5000 0.1189  4 Y 3.11, 4 Ac 3.43
7 Ag 0.5000 0.5000 0.3064  8 Y 3.17-3.18, 1 Ag 3.53
8 Ag 0.5000 0.5000 0.5000  8 Y 3.17
9 Ag 0.5000 0.5000 0.6936  8 Y 3.17-3.18, 1 Ag 3.53
10 Ag 0.5000 0.5000 0.8811  4 Y 3.11, 4 Ac 3.43

Results
Energy relative to the elements = -3.1 eV per formula unit
Fermi-level density of states = 4.9 states/eV/cell
Total magnetization = 0.00 μB/f.u.
Calculated total energy = -47.30 eV/f.u.